1.
Here is a relaxed structure of Mg2AlSi from Alexandria. Energies are from PBE.

```
Mg2AlSi
1.0
2.964 -4.283 0.000
2.964 4.283 0.000
0.000 0.000 2.860
Mg Al Si
2 1 1
direct
0.000 0.500 0.000
0.500 0.000 0.000
0.000 0.000 0.500
0.500 0.500 0.500
```

## Properties
As for the symmetry: Cmmm. For the density of states at the Fermi level, the calculation gives 0.207 states/eV/atom. The energy relative to the elements, uncorrected is 0.049 eV/atom.

2.
Here is a relaxed structure of Ac4LaTb5 from Alexandria. Energies are from PBE.

```
Ac4LaTb5
1.0
9.567 -2.709 0.000
9.567 2.709 0.000
-1.870 0.000 7.191
Ac La Tb
4 1 5
direct
0.099 0.099 0.303
0.300 0.300 0.899
0.700 0.700 0.101
0.901 0.901 0.697
0.500 0.500 0.500
0.099 0.099 0.799
0.301 0.301 0.400
0.500 0.500 0.000
0.699 0.699 0.600
0.901 0.901 0.201
```

## Properties
As for the symmetry: C2/m. For the density of states at the Fermi level, the calculation gives 1.488 states/eV/atom. The value obtained for the formation energy from the elements is 0.0436 eV per atom.

3.
Here is a relaxed structure of TiPRh2O from Alexandria. Energies are from PBE.

```
TiPRh2O
1.0
4.019 0.000 0.000
0.000 4.019 0.000
0.000 0.000 4.300
Ti P Rh O
1 1 2 1
direct
0.000 0.000 0.000
0.500 0.500 0.000
0.000 0.500 0.500
0.500 0.000 0.500
0.500 0.500 0.500
```

## Properties
As for the symmetry: P4/mmm. For the density of states at the Fermi level, the calculation gives 1.024 states/eV/atom. The energy relative to the elements, uncorrected is -0.038 eV/atom.

4.
Here is a relaxed structure of PtRhC3 from Alexandria. Energies are from PBE.

```
PtRhC3
1.0
3.960 0.000 0.000
0.000 3.960 0.000
0.000 0.000 3.960
Pt Rh C
1 1 3
direct
0.000 0.000 0.000
0.500 0.500 0.500
0.000 0.500 0.500
0.500 0.000 0.500
0.500 0.500 0.000
```

## Properties
As for the symmetry: Pm-3m. As for the energy relative to the lowest polymorph listed for this composition: 0 meV per atom. For the density of states at the Fermi level, the calculation gives 0.445 states/eV/atom. The value obtained for the formation energy from the elements is 2.3722 eV per atom.